HgPd3 | Alexandria | PBEsol | optimized geometry; symmetry = P6_3/mmc, No. 194; ΔH_f (0 K) = -52.1 kJ/mol of formula units
1.0
-3.1042 -1.1669 -3.2005
3.9260 0.4788 -3.9824
-0.8018 -4.9234 2.5727
Hg Pd
2 6
Direct
0.7500 0.3333 0.6667
0.2500 0.6667 0.3333
0.2500 0.6712 0.8356
0.2500 0.1644 0.3288
0.2500 0.1644 0.8356
0.7500 0.3288 0.1644
0.7500 0.8356 0.6712
0.7500 0.8356 0.1644



CsRbTc2F | Alexandria | PBEsol | optimized geometry; symmetry = P4/mmm, No. 123; raw formation energy = 1067 meV per atom
1.0
4.2599 0.0000 0.0000
0.0000 4.2599 0.0000
0.0000 0.0000 5.8715
Cs Tc Rb F
1 2 1 1
Direct
0.0000 0.0000 0.5000
0.0000 0.5000 0.0000
0.5000 0.0000 0.0000
0.5000 0.5000 0.5000
0.0000 0.0000 0.0000



Mn2IrRh | Alexandria | PBEsol | optimized geometry; symmetry = P4/mmm, No. 123; ΔH_f (0 K) = -23.5 kJ/mol of formula units
1.0
-1.8058 1.8270 -0.4747
-1.7642 -1.3998 1.3239
1.8515 3.4071 6.0696
Ir Mn Rh
1 2 1
Direct
0.5000 0.5000 0.5000
0.0000 0.0000 0.7503
0.0000 0.0000 0.2497
0.5000 0.5000 0.0000



CrRh | Alexandria | PBEsol | optimized geometry; symmetry = Pnma, No. 62; ΔH_f (0 K) = -10.0 kJ/mol of formula units
1.0
-1.8670 -2.7271 2.4967
-2.0489 -1.8999 -3.6074
4.0302 -3.2755 -0.5640
Cr Rh
4 4
Direct
0.7500 0.9192 0.8769
0.2500 0.5808 0.3769
0.7500 0.4192 0.6231
0.2500 0.0808 0.1231
0.7500 0.9067 0.3733
0.2500 0.5933 0.8733
0.7500 0.4067 0.1267
0.2500 0.0933 0.6267



Mg2Zn2Bi | Alexandria | PBEsol | optimized geometry; symmetry = P4/mbm, No. 127; ΔH_f (0 K) = -16.0 kJ/mol of formula units
1.0
-1.7354 0.7090 -2.8695
-5.6756 -4.6955 2.2722
-3.4609 5.9019 3.5514
Mg Zn Bi
4 4 2
Direct
0.5000 0.1750 0.6750
0.5000 0.6750 0.8250
0.5000 0.8250 0.3250
0.5000 0.3250 0.1750
0.0000 0.3835 0.8835
0.0000 0.8835 0.6165
0.0000 0.6165 0.1165
0.0000 0.1165 0.3835
0.0000 0.0000 0.0000
0.0000 0.5000 0.5000



Nb3SbSe | Alexandria | PBEsol | optimized geometry; symmetry = Pm-3m, No. 221; raw formation energy = 497 meV per atom
1.0
-0.4547 1.1341 -4.5540
-3.0684 -3.5338 -0.5737
-3.5511 2.9082 1.0788
Sb Nb Se
1 3 1
Direct
0.5000 0.5000 0.5000
0.0000 0.5000 0.0000
0.0000 0.0000 0.5000
0.5000 0.0000 0.0000
0.0000 0.0000 0.0000



CsPbN2O | Alexandria | PBEsol | optimized geometry; symmetry = P4/mmm, No. 123; raw formation energy = 806 meV per atom
1.0
4.6061 0.0000 0.0000
0.0000 4.6061 0.0000
0.0000 0.0000 4.3900
Pb Cs O N
1 1 1 2
Direct
0.0000 0.0000 0.0000
0.5000 0.5000 0.5000
0.0000 0.0000 0.5000
0.0000 0.5000 0.0000
0.5000 0.0000 0.0000



Ho2B6Rh | Alexandria | PBEsol | optimized geometry; symmetry = Pbam, No. 55; ΔH_f (0 K) = -626.7 kJ/mol of formula units
1.0
3.5915 0.0000 0.0000
0.0000 9.0976 0.0000
0.0000 0.0000 11.4143
Ho B Rh
8 24 4
Direct
0.5000 0.3229 0.4134
0.5000 0.6771 0.5866
0.5000 0.1771 0.9134
0.5000 0.8229 0.0866
0.5000 0.4443 0.1263
0.5000 0.5557 0.8737
0.5000 0.0557 0.6263
0.5000 0.9443 0.3737
0.0000 0.1105 0.4699
0.0000 0.8895 0.5301
0.0000 0.3895 0.9699
0.0000 0.6105 0.0301
0.0000 0.1330 0.3158
0.0000 0.8670 0.6842
0.0000 0.3670 0.8158
0.0000 0.6330 0.1842
0.0000 0.0531 0.0661
0.0000 0.9469 0.9339
0.0000 0.4469 0.5661
0.0000 0.5531 0.4339
0.0000 0.4826 0.2874
0.0000 0.5174 0.7126
0.0000 0.0174 0.7874
0.0000 0.9826 0.2126
0.0000 0.2491 0.0796
0.0000 0.7509 0.9204
0.0000 0.2509 0.5796
0.0000 0.7491 0.4204
0.0000 0.2938 0.2352
0.0000 0.7062 0.7648
0.0000 0.2062 0.7352
0.0000 0.7938 0.2648
0.5000 0.1396 0.1792
0.5000 0.8604 0.8208
0.5000 0.3604 0.6792
0.5000 0.6396 0.3208



YNClF2 | Alexandria | PBEsol | optimized geometry; symmetry = P4/mmm, No. 123; raw formation energy = -1137 meV per atom
1.0
3.9838 0.0000 0.0000
0.0000 3.9838 0.0000
0.0000 0.0000 4.4860
Y N F Cl
1 1 2 1
Direct
0.0000 0.0000 0.5000
0.0000 0.0000 0.0000
0.0000 0.5000 0.0000
0.5000 0.0000 0.0000
0.5000 0.5000 0.5000



CdTcRh2 | Alexandria | PBEsol | optimized geometry; symmetry = P4/mmm, No. 123; ΔH_f (0 K) = -49.7 kJ/mol of formula units
1.0
-1.2471 -2.0282 -1.4206
1.4299 -1.8884 1.4409
-5.5839 -0.2335 5.2352
Rh Tc Cd
2 1 1
Direct
0.0000 0.0000 0.7727
0.0000 0.0000 0.2273
0.5000 0.5000 0.0000
0.5000 0.5000 0.5000



BeRuSe2 | Alexandria | PBEsol | optimized geometry; symmetry = C2/m, No. 12; raw formation energy = 64 meV per atom
1.0
-1.3792 -2.8375 -1.2528
-0.4173 -2.5810 2.1650
-6.0633 0.1156 1.6978
Ru Se Be
1 2 1
Direct
0.0000 0.0000 0.5000
0.2540 0.2540 0.7629
0.7460 0.7460 0.2371
0.5000 0.5000 0.0000



CdPt | Alexandria | PBEsol | optimized geometry; symmetry = C2/m, No. 12; ΔH_f (0 K) = -47.8 kJ/mol of formula units
1.0
2.8986 0.0000 0.0000
0.0000 4.8431 -0.0668
-1.4493 -1.7430 4.8402
Pt Cd
2 2
Direct
0.8637 0.6903 0.7274
0.1363 0.3097 0.2726
0.3880 0.1999 0.7760
0.6120 0.8001 0.2240



The evaluated DOS(E_F) for the records listed, in turn: 9.93 5.29 4.27 8.56 3.46 3.05 1.24 10.91 1.01 2.40 3.42 1.63 states/eV/cell.
The evaluated volume for the records listed, in turn: 15.7 21.3 12.3 12.3 20.4 21.0 18.6 10.4 14.2 14.7 15.3 16.9 Å³/atom.
The evaluated total magnetization for the records listed, in turn: 0.00 0.00 2.35 0.00 0.00 0.00 3.15 0.00 0.00 0.00 0.45 0.00 μB per cell.